# BaLiCr | Alexandria via LeMat-Bulk | PBE | optimized geometry
# - formation enthalpy at 0 K (eV per atom) = 0.587
# - ΔE to the lowest computed polymorph (kJ per mole of atoms) = 0.00
data_BaLiCr
_cell_length_a 5.1773
_cell_length_b 5.1773
_cell_length_c 4.3404
_cell_angle_alpha 90.00
_cell_angle_beta 90.00
_cell_angle_gamma 120.00
_space_group_name_H-M_alt 'P -6 m 2'
_space_group_IT_number 187
_space_group_name_Hall 'P -6 2'
loop_
_atom_site_label
_atom_site_type_symbol
_atom_site_fract_x
_atom_site_fract_y
_atom_site_fract_z
Ba1 Ba 0.0000 0.0000 0.0000
Li1 Li 0.3333 0.6667 0.5000
Cr1 Cr 0.6667 0.3333 0.5000

***

# SmDyRuPt | Alexandria via LeMat-Bulk | PBE | optimized geometry
# - formation enthalpy at 0 K (eV per atom) = -0.706
# - ΔE to the lowest computed polymorph (kJ per mole of atoms) = 4.44
data_SmDyRuPt
_cell_length_a 6.9621
_cell_length_b 6.9621
_cell_length_c 6.9621
_cell_angle_alpha 90.00
_cell_angle_beta 90.00
_cell_angle_gamma 90.00
_space_group_name_H-M_alt 'F -4 3 m'
_space_group_IT_number 216
_space_group_name_Hall 'F -4 2 3'
loop_
_atom_site_label
_atom_site_type_symbol
_atom_site_fract_x
_atom_site_fract_y
_atom_site_fract_z
Sm1 Sm 0.0000 0.0000 0.0000
Dy1 Dy 0.0000 0.0000 0.5000
Ru1 Ru 0.2500 0.2500 0.2500
Pt1 Pt 0.2500 0.2500 0.7500

***

# CeScSi2Pt5 | Alexandria via LeMat-Bulk | PBE | optimized geometry
# - E_form (uncorrected) (eV/atom) = -0.885
data_CeScSi2Pt5
_cell_length_a 4.0805
_cell_length_b 4.0805
_cell_length_c 10.8947
_cell_angle_alpha 90.00
_cell_angle_beta 90.00
_cell_angle_gamma 90.00
_space_group_name_H-M_alt 'P 4/m m m'
_space_group_IT_number 123
_space_group_name_Hall '-P 4 2'
loop_
_atom_site_label
_atom_site_type_symbol
_atom_site_fract_x
_atom_site_fract_y
_atom_site_fract_z
Ce1 Ce 0.0000 0.0000 0.0000
Sc1 Sc 0.0000 0.0000 0.5000
Si1 Si 0.5000 0.5000 0.2162
Pt1 Pt 0.0000 0.5000 0.3266
Pt2 Pt 0.5000 0.5000 0.0000

***

# Ga3FeRh4 | Alexandria via LeMat-Bulk | PBE | optimized geometry
# - formation enthalpy at 0 K (eV per atom) = -0.561
data_Ga3FeRh4
_cell_length_a 4.2866
_cell_length_b 4.2866
_cell_length_c 6.0277
_cell_angle_alpha 90.00
_cell_angle_beta 90.00
_cell_angle_gamma 90.00
_space_group_name_H-M_alt 'P 4/m m m'
_space_group_IT_number 123
_space_group_name_Hall '-P 4 2'
loop_
_atom_site_label
_atom_site_type_symbol
_atom_site_fract_x
_atom_site_fract_y
_atom_site_fract_z
Ga1 Ga 0.0000 0.0000 0.0000
Ga2 Ga 0.0000 0.0000 0.5000
Ga3 Ga 0.5000 0.5000 0.0000
Fe1 Fe 0.5000 0.5000 0.5000
Rh1 Rh 0.0000 0.5000 0.2487

***

# KTcAg2 | Alexandria via LeMat-Bulk | PBE | optimized geometry
# - formation enthalpy at 0 K (eV per atom) = 0.710
# - ΔE to the lowest computed polymorph (kJ per mole of atoms) = 8.58
data_KTcAg2
_cell_length_a 3.9235
_cell_length_b 3.9626
_cell_length_c 10.1958
_cell_angle_alpha 90.00
_cell_angle_beta 90.00
_cell_angle_gamma 90.00
_space_group_name_H-M_alt 'C m m 2'
_space_group_IT_number 35
loop_
_space_group_symop_operation_xyz
'x,y,z'
'-x,-y,z'
'-x,y,z'
'x,-y,z'
'x+1/2,y+1/2,z'
'-x+1/2,-y+1/2,z'
'-x+1/2,y+1/2,z'
'x+1/2,-y+1/2,z'
loop_
_atom_site_label
_atom_site_type_symbol
_atom_site_fract_x
_atom_site_fract_y
_atom_site_fract_z
K1 K 0.0000 0.0000 0.0000
Tc1 Tc 0.0000 0.5000 0.2760
Ag1 Ag 0.0000 0.0000 0.4881
Ag2 Ag 0.0000 0.5000 0.7086

***

# AcTb3Sm6Ho2 | Alexandria via LeMat-Bulk | PBE | optimized geometry
# - formation enthalpy at 0 K (eV per atom) = 0.027
data_AcTb3Sm6Ho2
_cell_length_a 6.2778
_cell_length_b 10.8679
_cell_length_c 12.0240
_cell_angle_alpha 90.00
_cell_angle_beta 100.03
_cell_angle_gamma 90.00
_space_group_name_H-M_alt 'C 1 2/m 1'
_space_group_IT_number 12
loop_
_space_group_symop_operation_xyz
'x,y,z'
'-x,-y,-z'
'-x,y,-z'
'x,-y,z'
'x+1/2,y+1/2,z'
'-x+1/2,-y+1/2,-z'
'-x+1/2,y+1/2,-z'
'x+1/2,-y+1/2,z'
loop_
_atom_site_label
_atom_site_type_symbol
_atom_site_fract_x
_atom_site_fract_y
_atom_site_fract_z
Ac1 Ac 0.0000 0.0000 0.0000
Tb1 Tb 0.0000 0.1672 0.5000
Tb2 Tb 0.0000 0.5000 0.5000
Sm1 Sm 0.2463 0.3317 0.7463
Sm2 Sm 0.2488 0.5000 0.2540
Ho1 Ho 0.0000 0.3334 0.0000

***

# Ca3Pa3ReN8 | Alexandria via LeMat-Bulk | PBE | optimized geometry
# - E_form (uncorrected) (eV/atom) = -1.152
data_Ca3Pa3ReN8
_cell_length_a 6.8594
_cell_length_b 6.8594
_cell_length_c 17.0250
_cell_angle_alpha 90.00
_cell_angle_beta 90.00
_cell_angle_gamma 120.00
_space_group_name_H-M_alt 'R -3 m'
_space_group_IT_number 166
_space_group_name_Hall '-R 3 2"'
loop_
_atom_site_label
_atom_site_type_symbol
_atom_site_fract_x
_atom_site_fract_y
_atom_site_fract_z
Ca1 Ca 0.0000 0.5000 0.0000
Pa1 Pa 0.0000 0.5000 0.5000
Re1 Re 0.0000 0.0000 0.5000
N1 N 0.0000 0.0000 0.2431
N2 N 0.0133 0.5067 0.2320

***

# PrPuPa | Alexandria via LeMat-Bulk | PBE | optimized geometry
# - formation enthalpy at 0 K (eV per atom) = 0.604
# - ΔE to the lowest computed polymorph (kJ per mole of atoms) = 42.04
data_PrPuPa
_cell_length_a 4.9521
_cell_length_b 4.9521
_cell_length_c 24.9970
_cell_angle_alpha 90.00
_cell_angle_beta 90.00
_cell_angle_gamma 120.00
_space_group_name_H-M_alt 'R -3 m'
_space_group_IT_number 166
_space_group_name_Hall '-R 3 2"'
loop_
_atom_site_label
_atom_site_type_symbol
_atom_site_fract_x
_atom_site_fract_y
_atom_site_fract_z
Pr1 Pr 0.0000 0.0000 0.1319
Pu1 Pu 0.0000 0.0000 0.2894
Pa1 Pa 0.0000 0.0000 0.3940

***

| no. | N(E_F) (states/eV/cell) | mass density (Mg/m³) |
| --- | --- | --- |
| 1 | 1.8 | 3.2 |
| 2 | 9.0 | 12.0 |
| 3 | 9.9 | 11.1 |
| 4 | 4.3 | 10.1 |
| 5 | 6.2 | 7.4 |
| 6 | 31.8 | 8.0 |
| 7 | 13.6 | 8.0 |
| 8 | 35.5 | 11.6 |